Density functional theory data (PBE) for a relaxed structure of SrUAgTe4.

Calculated values
density	7.1	g cm⁻³
total magnetic moment	2.20	μB per formula unit
space group	P2_1/m, No. 11
formation energy from raw total energies	-0.7254	eV per atom
energy	-4.78	eV per atom

a b c (Å): 7.8814 6.3314 9.3802
angles (deg): 90.00 109.23 90.00
Last column: nearest neighbours and their distance in Å.
Sites, in units of the cell vectors:
Sr (0.7537, 0.7500, 0.9405)  6 Te 3.29-3.49
Sr (0.2463, 0.2500, 0.0595)  6 Te 3.29-3.49
U (0.7208, 0.7500, 0.4359)  8 Te 3.12-3.38, 1 Ag 3.43
U (0.2792, 0.2500, 0.5641)  8 Te 3.12-3.38, 1 Ag 3.43
Ag (0.2606, 0.7500, 0.3033)  4 Te 2.68-2.80
Ag (0.7394, 0.2500, 0.6967)  4 Te 2.68-2.80
Te (0.0353, 0.5101, 0.7229)  1 Ag 2.80, 1 Te 3.04
Te (0.9647, 0.0101, 0.2771)  1 Ag 2.80, 1 Te 3.04
Te (0.9647, 0.4899, 0.2771)  1 Ag 2.80, 1 Te 3.04
Te (0.0353, 0.9899, 0.7229)  1 Ag 2.80, 1 Te 3.04
Te (0.4452, 0.7500, 0.1094)  1 Ag 2.68
Te (0.5548, 0.2500, 0.8906)  1 Ag 2.68
Te (0.4373, 0.7500, 0.6080)  1 Ag 2.74
Te (0.5627, 0.2500, 0.3920)  1 Ag 2.74